SrCoRu2 | Alexandria via LeMat-Bulk | meta-GGA SCAN | PBEsol geometry; energy of formation = 0.811 eV per atom; spin magnetization = 3.635 μB per formula unit; excess energy over the best structure of this formula in the dataset = 150 meV per atom; calculated volume = 16.04 Å³/atom
1.0
4.494 0.000 0.000
2.247 3.892 0.000
2.247 1.297 3.669
Co Ru Sr
1 2 1
direct
0.500 0.500 0.500
0.000 0.000 0.000
0.750 0.750 0.750
0.250 0.250 0.250


SrCo2Ru | Alexandria via LeMat-Bulk | meta-GGA SCAN | PBEsol geometry; energy of formation = 0.191 eV per atom; spin magnetization = 3.616 μB per formula unit; excess energy over the best structure of this formula in the dataset = 0 meV per atom; calculated volume = 18.95 Å³/atom
1.0
4.081 0.000 0.000
2.040 3.534 0.000
2.040 1.178 5.258
Ru Co Sr
1 2 1
direct
0.000 0.000 0.000
0.689 0.689 0.934
0.311 0.311 0.066
0.500 0.500 0.500


The highest spin magnetization belongs to which entry? SrCoRu2


Among the records above, which one has the highest excess energy over the best structure of this formula in the dataset? SrCoRu2


Please write out number 2 again, unchanged.
SrCo2Ru | Alexandria via LeMat-Bulk | meta-GGA SCAN | PBEsol geometry; energy of formation = 0.191 eV per atom; spin magnetization = 3.616 μB per formula unit; excess energy over the best structure of this formula in the dataset = 0 meV per atom; calculated volume = 18.95 Å³/atom
1.0
4.081 0.000 0.000
2.040 3.534 0.000
2.040 1.178 5.258
Ru Co Sr
1 2 1
direct
0.000 0.000 0.000
0.689 0.689 0.934
0.311 0.311 0.066
0.500 0.500 0.500